# 1
# K3YCu2Cl9 | the Alexandria database | PBE-GGA | optimized geometry
# Energy relative to the elements, uncorrected in meV/atom: -1536
data_K3YCu2Cl9
_space_group_name_H-M_alt 'P -3 m 1'
_space_group_IT_number 164
_space_group_name_Hall '-P 3 2"'
_cell_length_a 7.1489
_cell_length_b 7.1489
_cell_length_c 8.8955
_cell_angle_alpha 90.00
_cell_angle_beta 90.00
_cell_angle_gamma 120.00
loop_
_atom_site_label
_atom_site_fract_x
_atom_site_fract_y
_atom_site_fract_z
K1 0.0000 0.0000 0.0000
K2 0.3333 0.6667 0.6991
Y1 0.0000 0.0000 0.5000
Cu1 0.3333 0.6667 0.1410
Cl1 0.0000 0.5000 0.0000
Cl2 0.1713 0.3427 0.3262


# 2
# K2YCuCl6 | the Alexandria database | PBE-GGA | optimized geometry
# Offset from the most stable computed form in eV per atom: 0.039
# Energy relative to the elements, uncorrected in meV/atom: -1742
data_K2YCuCl6
_space_group_name_H-M_alt 'F m -3 m'
_space_group_IT_number 225
_space_group_name_Hall '-F 4 2 3'
_cell_length_a 10.339
_cell_length_b 10.339
_cell_length_c 10.339
_cell_angle_alpha 90.00
_cell_angle_beta 90.00
_cell_angle_gamma 90.00
loop_
_atom_site_label
_atom_site_fract_x
_atom_site_fract_y
_atom_site_fract_z
K1 0.250 0.250 0.250
Y1 0.000 0.000 0.000
Cu1 0.000 0.000 0.500
Cl1 0.000 0.000 0.255